The following is a DFT calculation (GGA-PBE) of a geometry-optimized NaPmSi structure.

The structure in POSCAR format:
```
NaPmSi
1.0
3.753 0.000 0.000
0.000 4.498 0.000
0.000 2.249 9.985
Pm Si Na
2 2 2
Direct
0.750 0.075 0.850
0.250 0.925 0.150
0.750 0.461 0.078
0.250 0.539 0.922
0.250 0.288 0.423
0.750 0.712 0.577
```

E_tot, eV per cell: -24.8
Space-group type: Cmcm (63)
Energy relative to the elements, uncorrected, meV per atom: -303
Excess energy over the best structure of this formula in the dataset, eV/atom: 0.000
N(E_F), states/eV per cell: 2.9
M_tot, μB/f.u.: 0.00